DFT (GGA-PBE) results for a relaxed structure of CoAg2W.

The electronic total energy comes out at -22.90 eV per cell. Its formation energy is 716 meV/atom. The total magnetization is 1.842 μB per formula unit. The relative energy among the computed polymorphs is 0.387 eV/atom.

a = 5.180 Å, b = 5.180 Å, c = 2.653 Å
α = 90.00°, β = 90.00°, γ = 117.85°
Element x y z (fractional)
1 Co 0.000 0.000 0.000
2 Ag 0.000 0.500 0.500
3 Ag 0.500 0.000 0.500
4 W 0.500 0.500 0.000